# TiNb4Ru2 | Alexandria via LeMat-Bulk | PBE | relaxed
# magnetic moment	0.000	μB/cell
# calculated formation energy	0.97	eV per atom
data_TiNb4Ru2
_chemical_formula_sum 'Ti1 Nb4 Ru2'
_cell_length_a 7.255
_cell_length_b 7.255
_cell_length_c 7.255
_cell_angle_alpha 142.96
_cell_angle_beta 142.96
_cell_angle_gamma 53.39
_symmetry_space_group_name_H-M 'P 1'
_symmetry_Int_Tables_number 1
loop_
_symmetry_equiv_pos_as_xyz
'x,y,z'
loop_
_atom_site_label
_atom_site_fract_x
_atom_site_fract_y
_atom_site_fract_z
Ti1 0.000 0.000 0.000
Nb1 0.000 0.500 0.500
Nb2 0.196 0.196 0.000
Nb3 0.500 0.000 0.500
Nb4 0.804 0.804 0.000
Ru1 0.377 0.377 0.000
Ru2 0.623 0.623 0.000

---

# Ag2OsO5 | Alexandria via LeMat-Bulk | PBE | relaxed
# magnetic moment	0.000	μB/cell
# ΔE_f (raw)	-47.1	kJ per mole of atoms
data_Ag2OsO5
_chemical_formula_sum 'Ag2 Os1 O5'
_cell_length_a 5.795
_cell_length_b 5.471
_cell_length_c 6.363
_cell_angle_alpha 58.05
_cell_angle_beta 53.23
_cell_angle_gamma 68.72
_symmetry_space_group_name_H-M 'P 1'
_symmetry_Int_Tables_number 1
loop_
_symmetry_equiv_pos_as_xyz
'x,y,z'
loop_
_atom_site_label
_atom_site_fract_x
_atom_site_fract_y
_atom_site_fract_z
Ag1 0.000 0.000 0.500
Ag2 0.500 0.500 0.000
Os1 0.398 0.398 0.602
O1 0.145 0.145 0.855
O2 0.277 0.680 0.723
O3 0.298 0.684 0.316
O4 0.680 0.277 0.320
O5 0.684 0.298 0.702

---

# SrCe2P | Alexandria via LeMat-Bulk | PBE | relaxed
# magnetic moment	2.252	μB/cell
# calculated formation energy	-0.45	eV per atom
data_SrCe2P
_chemical_formula_sum 'Sr1 Ce2 P1'
_cell_length_a 10.980
_cell_length_b 10.980
_cell_length_c 10.980
_cell_angle_alpha 20.55
_cell_angle_beta 20.55
_cell_angle_gamma 20.55
_symmetry_space_group_name_H-M 'P 1'
_symmetry_Int_Tables_number 1
loop_
_symmetry_equiv_pos_as_xyz
'x,y,z'
loop_
_atom_site_label
_atom_site_fract_x
_atom_site_fract_y
_atom_site_fract_z
Sr1 0.000 0.000 0.000
Ce1 0.116 0.116 0.116
Ce2 0.884 0.884 0.884
P1 0.500 0.500 0.500

---

# HfHg2Cl | Alexandria via LeMat-Bulk | PBE | relaxed
# E above lowest polymorph	0.0	kJ/mol of formula units
# magnetic moment	0.000	μB/cell
# ΔE_f (raw)	-5.6	kJ per mole of atoms
data_HfHg2Cl
_chemical_formula_sum 'Hf2 Hg4 Cl2'
_cell_length_a 7.221
_cell_length_b 7.221
_cell_length_c 7.221
_cell_angle_alpha 96.72
_cell_angle_beta 96.72
_cell_angle_gamma 140.00
_symmetry_space_group_name_H-M 'P 1'
_symmetry_Int_Tables_number 1
loop_
_symmetry_equiv_pos_as_xyz
'x,y,z'
loop_
_atom_site_label
_atom_site_fract_x
_atom_site_fract_y
_atom_site_fract_z
Hf1 0.000 0.000 0.000
Hf2 0.750 0.250 0.500
Hg1 0.032 0.625 0.907
Hg2 0.375 0.282 0.407
Hg3 0.718 0.125 0.093
Hg4 0.875 0.968 0.593
Cl1 0.250 0.750 0.500
Cl2 0.500 0.500 0.000

---

# Cs2NdMg2S4 | Alexandria via LeMat-Bulk | PBE | relaxed
# magnetic moment	0.534	μB/cell
# ΔE_f (raw)	-134.3	kJ per mole of atoms
data_Cs2NdMg2S4
_chemical_formula_sum 'Cs2 Nd1 Mg2 S4'
_cell_length_a 8.250
_cell_length_b 8.250
_cell_length_c 8.306
_cell_angle_alpha 107.23
_cell_angle_beta 107.23
_cell_angle_gamma 29.16
_symmetry_space_group_name_H-M 'P 1'
_symmetry_Int_Tables_number 1
loop_
_symmetry_equiv_pos_as_xyz
'x,y,z'
loop_
_atom_site_label
_atom_site_fract_x
_atom_site_fract_y
_atom_site_fract_z
Cs1 0.127 0.127 0.035
Cs2 0.873 0.873 0.965
Nd1 0.000 0.000 0.500
Mg1 0.328 0.328 0.525
Mg2 0.672 0.672 0.475
S1 0.200 0.200 0.648
S2 0.473 0.473 0.728
S3 0.527 0.527 0.272
S4 0.800 0.800 0.352

---

# NaCrTeSe | Alexandria via LeMat-Bulk | PBE | relaxed
# magnetic moment	3.000	μB/cell
# ΔE_f (raw)	-44.9	kJ per mole of atoms
data_NaCrTeSe
_chemical_formula_sum 'Na1 Cr1 Te1 Se1'
_cell_length_a 3.793
_cell_length_b 3.793
_cell_length_c 7.700
_cell_angle_alpha 90.00
_cell_angle_beta 90.00
_cell_angle_gamma 120.00
_symmetry_space_group_name_H-M 'P 1'
_symmetry_Int_Tables_number 1
loop_
_symmetry_equiv_pos_as_xyz
'x,y,z'
loop_
_atom_site_label
_atom_site_fract_x
_atom_site_fract_y
_atom_site_fract_z
Na1 0.000 0.000 0.000
Cr1 0.667 0.333 0.450
Te1 0.333 0.667 0.675
Se1 0.333 0.667 0.261